The following is a DFT calculation (PBE+U) of Rb2PWF6 after structural relaxation.

Its uncorrected energy is -4.7212 eV per atom. The value obtained for the total magnetization is 3.0 μB per formula unit.

The space group is I4/mmm (No. 139) and the conventional cell measures 5.923, 5.923 and 11.426 Å, with angles of 90.00, 90.00 and 90.00 degrees. The distinct sites, in fractional coordinates, are Rb at (0.000, 0.500, 0.250), P at (0.000, 0.000, 0.000), W at (0.000, 0.000, 0.500), F at (0.000, 0.000, 0.316) and F at (0.248, 0.248, 0.000).